Material: BeV2Ir
Method: DFT, PBE
State: relaxed

Lattice parameters (Å, degrees): 6.759 6.759 4.654 90.00 90.00 90.00
Space group I-42d (No. 122)
Symmetry-distinct sites (fractional):
Be (0.000, 0.000, 0.000) [4 per cell]
V (0.237, 0.750, 0.125) [8 per cell]
Ir (0.000, 0.000, 0.500) [4 per cell]

## Properties
energy of formation	0.2545	eV/atom
E_tot	-119.23	eV per cell

=====

Material: NbGaTc2S
Method: DFT, PBE
State: relaxed

Lattice parameters (Å, degrees): 4.893 4.893 4.723 90.00 90.00 90.00
Space group P4/mmm (No. 123)
Symmetry-distinct sites (fractional):
Nb (0.000, 0.000, 0.000) [1 per cell]
Ga (0.500, 0.500, 0.500) [1 per cell]
Tc (0.000, 0.500, 0.000) [2 per cell]
S (0.000, 0.000, 0.500) [1 per cell]

## Properties
E_form (uncorrected)	1.2412	eV/atom
E_tot	-31.75	eV per cell

=====

Material: Zr2ScSb
Method: DFT, PBE
State: relaxed

Lattice parameters (Å, degrees): 3.758 3.771 6.391 90.00 90.00 90.00
Space group Pmmm (No. 47)
Symmetry-distinct sites (fractional):
Zr (0.000, 0.000, 0.239) [2 per cell]
Sc (0.500, 0.500, 0.500) [1 per cell]
Sb (0.500, 0.500, 0.000) [1 per cell]

## Properties
E_form (uncorrected)	-0.3932	eV/atom
E_tot	-29.12	eV per cell